No. 1
Here is a relaxed structure of SmCu4Bi from Alexandria. Energies are from PBE.

Energy relative to the elements: -0.6 eV/f.u.
SG: F-43m
Total magnetic moment: 0.0 μB per formula unit
DFT total energy: -4.269 eV per atom
Fermi-level density of states: 0.39 states/eV per atom

```
SmCu4Bi
1.0
0.000 3.756 3.756
3.756 0.000 3.756
3.756 3.756 0.000
Sm Cu Bi
1 4 1
direct
0.000 0.000 0.000 Sm
0.374 0.374 0.374 Cu
0.374 0.374 0.877 Cu
0.374 0.877 0.374 Cu
0.877 0.374 0.374 Cu
0.750 0.750 0.750 Bi
```

***

No. 2
Here is a relaxed structure of CaSm2ZrP4 from Alexandria. Energies are from PBE.

Energy relative to the elements: -11.0 eV/f.u.
SG: P2/m
Total magnetic moment: 0.0 μB per formula unit
DFT total energy: -6.574 eV per atom
Fermi-level density of states: 0.15 states/eV per atom

```
CaSm2ZrP4
1.0
6.888 0.000 0.000
0.000 4.001 0.000
-2.290 0.000 6.596
Ca Sm Zr P
1 2 1 4
direct
0.000 0.000 0.000 Ca
0.500 0.000 0.500 Sm
0.500 0.500 0.000 Sm
0.000 0.500 0.500 Zr
0.234 0.000 0.734 P
0.241 0.500 0.261 P
0.759 0.500 0.739 P
0.766 0.000 0.266 P
```

***

No. 3
Here is a relaxed structure of LiCaSmZn from Alexandria. Energies are from PBE.

Energy relative to the elements: -0.4 eV/f.u.
SG: F-43m
Total magnetic moment: 0.0 μB per formula unit
DFT total energy: -2.584 eV per atom
Relative energy among the computed polymorphs: 9.9 meV/atom
Fermi-level density of states: 0.74 states/eV per atom

```
LiCaSmZn
1.0
0.000 3.713 3.713
3.713 0.000 3.713
3.713 3.713 0.000
Li Ca Sm Zn
1 1 1 1
direct
0.000 0.000 0.000 Li
0.750 0.750 0.750 Ca
0.250 0.250 0.250 Sm
0.500 0.500 0.500 Zn
```

***

No. 4
Here is a relaxed structure of EuTlInAu from Alexandria. Energies are from PBE.

Energy relative to the elements: -1.2 eV/f.u.
SG: F-43m
Total magnetic moment: 7.0 μB per formula unit
DFT total energy: -4.972 eV per atom
Fermi-level density of states: 0.68 states/eV per atom

```
EuTlInAu
1.0
0.000 3.682 3.682
3.682 0.000 3.682
3.682 3.682 0.000
Eu Tl In Au
1 1 1 1
direct
0.000 0.000 0.000 Eu
0.750 0.750 0.750 Tl
0.250 0.250 0.250 In
0.500 0.500 0.500 Au
```

***

No. 5
Here is a relaxed structure of TmH4Pd3 from Alexandria. Energies are from PBE.

SG: Pm-3n
Total magnetic moment: 0.0 μB per formula unit
DFT total energy: -4.593 eV per atom
Fermi-level density of states: 0.27 states/eV per atom

```
TmH4Pd3
1.0
5.447 0.000 0.000
0.000 5.447 0.000
0.000 0.000 5.447
Tm H Pd
2 8 6
direct
0.000 0.000 0.000 Tm
0.500 0.500 0.500 Tm
0.250 0.250 0.250 H
0.250 0.250 0.750 H
0.250 0.750 0.250 H
0.250 0.750 0.750 H
0.750 0.250 0.250 H
0.750 0.250 0.750 H
0.750 0.750 0.250 H
0.750 0.750 0.750 H
0.000 0.250 0.500 Pd
0.000 0.750 0.500 Pd
0.250 0.500 0.000 Pd
0.500 0.000 0.250 Pd
0.500 0.000 0.750 Pd
0.750 0.500 0.000 Pd
```

***

No. 6
Here is a relaxed structure of LiIn3Ga3 from Alexandria. Energies are from PBE.

Energy relative to the elements: 2.0 eV/f.u.
SG: Pm-3n
Total magnetic moment: 0.0 μB per formula unit
DFT total energy: -2.459 eV per atom
Fermi-level density of states: 0.54 states/eV per atom

```
LiIn3Ga3
1.0
7.690 0.000 0.000
0.000 7.690 0.000
0.000 0.000 7.690
Li In Ga
2 6 6
direct
0.000 0.000 0.000 Li
0.500 0.500 0.500 Li
0.000 0.250 0.500 In
0.000 0.750 0.500 In
0.250 0.500 0.000 In
0.500 0.000 0.250 In
0.500 0.000 0.750 In
0.750 0.500 0.000 In
0.000 0.500 0.250 Ga
0.000 0.500 0.750 Ga
0.250 0.000 0.500 Ga
0.500 0.250 0.000 Ga
0.500 0.750 0.000 Ga
0.750 0.000 0.500 Ga
```

***

No. 7
Here is a relaxed structure of TaRuSe4 from Alexandria. Energies are from PBE.

SG: C2/c
Total magnetic moment: 0.0 μB per formula unit
DFT total energy: -6.219 eV per atom
Relative energy among the computed polymorphs: 0.0 meV/atom
Raw formation energy: -0.3746 eV per atom
Fermi-level density of states: 0.60 states/eV per atom

```
TaRuSe4
1.0
4.106 -7.125 0.000
4.106 7.125 0.000
-3.887 0.000 4.192
Ta Ru Se
2 2 8
direct
0.051 0.949 0.750 Ta
0.949 0.051 0.250 Ta
0.305 0.695 0.250 Ru
0.695 0.305 0.750 Ru
0.013 0.623 0.786 Se
0.235 0.352 0.858 Se
0.352 0.235 0.358 Se
0.377 0.987 0.714 Se
0.623 0.013 0.286 Se
0.648 0.765 0.642 Se
0.765 0.648 0.142 Se
0.987 0.377 0.214 Se
```

***

No. 8
Here is a relaxed structure of K2RbSn6 from Alexandria. Energies are from PBE.

Energy relative to the elements: -0.7 eV/f.u.
SG: Immm
Total magnetic moment: 0.0 μB per formula unit
DFT total energy: -3.101 eV per atom
Fermi-level density of states: 0.49 states/eV per atom

```
K2RbSn6
1.0
-2.283 6.197 6.246
2.283 -6.197 6.246
2.283 6.197 -6.246
K Rb Sn
2 1 6
direct
0.182 0.182 0.000 K
0.818 0.818 0.000 K
0.500 0.000 0.500 Rb
0.096 0.324 0.772 Sn
0.122 0.500 0.622 Sn
0.448 0.676 0.772 Sn
0.552 0.324 0.228 Sn
0.878 0.500 0.378 Sn
0.904 0.676 0.228 Sn
```

***

No. 9
Here is a relaxed structure of Pm8PuSn6 from Alexandria. Energies are from PBE.

Energy relative to the elements: -7.7 eV/f.u.
SG: R-3
Total magnetic moment: 6.1 μB per formula unit
DFT total energy: -5.601 eV per atom
Fermi-level density of states: 1.26 states/eV per atom

```
Pm8PuSn6
1.0
4.660 2.691 6.548
-4.660 2.691 6.548
0.000 -5.381 6.548
Pm Pu Sn
8 1 6
direct
0.072 0.724 0.395 Pm
0.167 0.167 0.167 Pm
0.276 0.605 0.928 Pm
0.395 0.072 0.724 Pm
0.605 0.928 0.276 Pm
0.724 0.395 0.072 Pm
0.833 0.833 0.833 Pm
0.928 0.276 0.605 Pm
0.500 0.500 0.500 Pu
0.093 0.433 0.770 Sn
0.230 0.907 0.567 Sn
0.433 0.770 0.093 Sn
0.567 0.230 0.907 Sn
0.770 0.093 0.433 Sn
0.907 0.567 0.230 Sn
```

***

No. 10
Here is a relaxed structure of TaPBr2 from Alexandria. Energies are from PBE.

SG: P4/mmm
Total magnetic moment: 1.5 μB per formula unit
DFT total energy: -4.465 eV per atom
Relative energy among the computed polymorphs: 1107.8 meV/atom
Raw formation energy: 0.6874 eV per atom
Fermi-level density of states: 0.73 states/eV per atom

```
TaPBr2
1.0
3.717 0.000 0.000
0.000 3.717 0.000
0.000 0.000 8.475
Ta P Br
1 1 2
direct
0.000 0.000 0.000 Ta
0.500 0.500 0.000 P
0.000 0.500 0.500 Br
0.500 0.000 0.500 Br
```

***

No. 11
Here is a relaxed structure of AcCePmLu from Alexandria. Energies are from PBE.

Energy relative to the elements: 0.9 eV/f.u.
SG: F-43m
Total magnetic moment: 2.8 μB per formula unit
DFT total energy: -4.603 eV per atom
Fermi-level density of states: 2.94 states/eV per atom

```
AcCePmLu
1.0
0.000 4.132 4.132
4.132 0.000 4.132
4.132 4.132 0.000
Ac Ce Pm Lu
1 1 1 1
direct
0.000 0.000 0.000 Ac
0.750 0.750 0.750 Ce
0.500 0.500 0.500 Pm
0.250 0.250 0.250 Lu
```

***

No. 12
Here is a relaxed structure of KScVI6 from Alexandria. Energies are from PBE.

SG: P-31c
Total magnetic moment: 3.0 μB per formula unit
DFT total energy: -3.883 eV per atom
Raw formation energy: -1.0110 eV per atom

```
KScVI6
1.0
7.420 0.000 0.000
-3.710 6.426 0.000
0.000 0.000 15.891
K Sc V I
2 2 2 12
direct
0.000 0.000 0.000 K
0.000 0.000 0.500 K
0.333 0.667 0.250 Sc
0.667 0.333 0.750 Sc
0.333 0.667 0.750 V
0.667 0.333 0.250 V
0.006 0.370 0.646 I
0.006 0.636 0.854 I
0.364 0.370 0.854 I
0.364 0.994 0.646 I
0.370 0.006 0.146 I
0.370 0.364 0.354 I
0.630 0.636 0.646 I
0.630 0.994 0.854 I
0.636 0.006 0.354 I
0.636 0.630 0.146 I
0.994 0.364 0.146 I
0.994 0.630 0.354 I
```

***

total magnetic moment of number 1 (SmCu4Bi)? 0.0 μB per formula unit